CaSI2N | PBE-GGA | optimized geometry

Calculated values
**Density of states at the Fermi level**: 0.426 states/eV per atom
**V**: 26.74 Å³ per atom
**Offset from the most stable computed form**: 0.000 eV per atom
**ΔE_f (raw)**: 0.18 eV per atom

Unit cell a=6.115 b=6.115 c=3.575 alpha=90.00 beta=90.00 gamma=90.00
Fractional coordinates of all 5 atoms:
1 I 0.000 0.500 0.000
2 I 0.500 0.000 0.000
3 Ca 0.500 0.500 0.500
4 S 0.000 0.000 0.000
5 N 0.000 0.000 0.500

***

CaSI2N | PBE-GGA | optimized geometry

Calculated values
**Density of states at the Fermi level**: 1.175 states/eV per atom
**V**: 34.85 Å³ per atom
**Offset from the most stable computed form**: 0.475 eV per atom
**ΔE_f (raw)**: 0.66 eV per atom

Unit cell a=6.114 b=6.114 c=4.660 alpha=90.00 beta=90.00 gamma=90.00
Fractional coordinates of all 5 atoms:
1 I 0.000 0.500 0.000
2 I 0.500 0.000 0.000
3 Ca 0.000 0.000 0.000
4 S 0.500 0.500 0.500
5 N 0.000 0.000 0.500

***

CaSbIN2 | PBE-GGA | optimized geometry

Calculated values
**Density of states at the Fermi level**: 1.330 states/eV per atom
**V**: 24.35 Å³ per atom
**Offset from the most stable computed form**: 0.766 eV per atom
**ΔE_f (raw)**: 1.41 eV per atom

Unit cell a=4.527 b=4.527 c=5.941 alpha=90.00 beta=90.00 gamma=90.00
Fractional coordinates of all 5 atoms:
1 I 0.000 0.000 0.500
2 Sb 0.500 0.500 0.500
3 Ca 0.000 0.000 0.000
4 N 0.000 0.500 0.000
5 N 0.500 0.000 0.000